Here is an optimized crystal structure of AcTb6PrEr2 from Alexandria via LeMat-Bulk. Energies are from PBE.

Structure (CIF):
```
data_AcTb6PrEr2
_chemical_formula_sum 'Ac4 Tb24 Pr4 Er8'
_cell_length_a 9.271
_cell_length_b 15.269
_cell_length_c 9.629
_cell_angle_alpha 90.00
_cell_angle_beta 95.36
_cell_angle_gamma 90.00
_symmetry_space_group_name_H-M 'C 1 2/c 1'
_symmetry_Int_Tables_number 15
loop_
_symmetry_equiv_pos_as_xyz
'x,y,z'
'-x,-y,-z'
'-x,y,-z+1/2'
'x,-y,z+1/2'
'x+1/2,y+1/2,z'
'-x+1/2,-y+1/2,-z'
'-x+1/2,y+1/2,-z+1/2'
'x+1/2,-y+1/2,z+1/2'
loop_
_atom_site_label
_atom_site_fract_x
_atom_site_fract_y
_atom_site_fract_z
Ac1 0.000 0.032 0.250
Tb1 0.064 0.186 0.943
Tb2 0.099 0.390 0.118
Tb3 0.212 0.232 0.322
Pr1 0.000 0.410 0.750
Er1 0.245 0.444 0.452
```

Summary:
E	-4.450	eV per atom
formation energy from the elements	3.0	kcal/mol of atoms

Here is an optimized crystal structure of Tb4AlAg2Au from Alexandria via LeMat-Bulk. Energies are from PBE.

Structure (CIF):
```
data_Tb4AlAg2Au
_chemical_formula_sum 'Tb12 Al3 Ag6 Au3'
_cell_length_a 5.1378
_cell_length_b 5.1378
_cell_length_c 25.3033
_cell_angle_alpha 90.00
_cell_angle_beta 90.00
_cell_angle_gamma 120.00
_symmetry_space_group_name_H-M 'R -3 m'
_symmetry_Int_Tables_number 166
_symmetry_space_group_name_Hall '-R 3 2"'
loop_
_atom_site_label
_atom_site_fract_x
_atom_site_fract_y
_atom_site_fract_z
Tb1 0.0000 0.0000 0.1221
Tb2 0.0000 0.0000 0.3731
Al1 0.0000 0.0000 0.5000
Ag1 0.0000 0.0000 0.2427
Au1 0.0000 0.0000 0.0000
```

Summary:
E	-4.376	eV per atom
formation energy from the elements	-10.9	kcal/mol of atoms

Here is an optimized crystal structure of SrGa3Co from Alexandria via LeMat-Bulk. Energies are from PBE.

Structure (CIF):
```
data_SrGa3Co
_chemical_formula_sum 'Sr1 Ga3 Co1'
_cell_length_a 4.648
_cell_length_b 4.648
_cell_length_c 4.648
_cell_angle_alpha 90.00
_cell_angle_beta 90.00
_cell_angle_gamma 90.00
_symmetry_space_group_name_H-M 'P m -3 m'
_symmetry_Int_Tables_number 221
_symmetry_space_group_name_Hall '-P 4 2 3'
loop_
_atom_site_label
_atom_site_fract_x
_atom_site_fract_y
_atom_site_fract_z
Sr1 0.000 0.000 0.000
Ga1 0.000 0.500 0.500
Co1 0.500 0.500 0.500
```

Summary:
E	-3.927	eV per atom
formation energy from the elements	-8.2	kcal/mol of atoms

Here is an optimized crystal structure of MnZn2Re from Alexandria via LeMat-Bulk. Energies are from PBE.

Structure (CIF):
```
data_MnZn2Re
_chemical_formula_sum 'Mn1 Zn2 Re1'
_cell_length_a 2.615
_cell_length_b 4.044
_cell_length_c 5.319
_cell_angle_alpha 90.00
_cell_angle_beta 90.00
_cell_angle_gamma 90.00
_symmetry_space_group_name_H-M 'P m m m'
_symmetry_Int_Tables_number 47
loop_
_symmetry_equiv_pos_as_xyz
'x,y,z'
'-x,-y,-z'
'-x,-y,z'
'x,y,-z'
'x,-y,-z'
'-x,y,z'
'-x,y,-z'
'x,-y,z'
loop_
_atom_site_label
_atom_site_fract_x
_atom_site_fract_y
_atom_site_fract_z
Mn1 0.000 0.000 0.000
Zn1 0.500 0.500 0.248
Re1 0.000 0.000 0.500
```

Summary:
E	-5.853	eV per atom
formation energy from the elements	4.3	kcal/mol of atoms
E above lowest polymorph	132	meV/atom

Here is an optimized crystal structure of ReTcPt3 from Alexandria via LeMat-Bulk. Energies are from PBE.

Structure (CIF):
```
data_ReTcPt3
_chemical_formula_sum 'Re1 Tc1 Pt3'
_cell_length_a 4.819
_cell_length_b 4.819
_cell_length_c 4.819
_cell_angle_alpha 90.00
_cell_angle_beta 90.00
_cell_angle_gamma 90.00
_symmetry_space_group_name_H-M 'P m -3 m'
_symmetry_Int_Tables_number 221
_symmetry_space_group_name_Hall '-P 4 2 3'
loop_
_atom_site_label
_atom_site_fract_x
_atom_site_fract_y
_atom_site_fract_z
Re1 0.000 0.000 0.000
Tc1 0.500 0.500 0.500
Pt1 0.000 0.000 0.500
```

Summary:
E	-6.597	eV per atom
formation energy from the elements	36.7	kcal/mol of atoms
E above lowest polymorph	0	meV/atom

Here is an optimized crystal structure of LaNiBr2 from Alexandria via LeMat-Bulk. Energies are from PBE.

Structure (CIF):
```
data_LaNiBr2
_chemical_formula_sum 'La1 Ni1 Br2'
_cell_length_a 3.804
_cell_length_b 3.899
_cell_length_c 6.443
_cell_angle_alpha 90.00
_cell_angle_beta 105.17
_cell_angle_gamma 90.00
_symmetry_space_group_name_H-M 'P 1 2/m 1'
_symmetry_Int_Tables_number 10
loop_
_symmetry_equiv_pos_as_xyz
'x,y,z'
'-x,-y,-z'
'-x,y,-z'
'x,-y,z'
loop_
_atom_site_label
_atom_site_fract_x
_atom_site_fract_y
_atom_site_fract_z
La1 0.000 0.000 0.000
Ni1 0.500 0.000 0.500
Br1 0.405 0.500 0.733
```

Summary:
E	-4.170	eV per atom
energy relative to the elements, uncorrected	-253	kJ/mol of formula units
E above lowest polymorph	260	meV/atom

What did the second record say?
Here is an optimized crystal structure of Tb4AlAg2Au from Alexandria via LeMat-Bulk. Energies are from PBE.

Structure (CIF):
```
data_Tb4AlAg2Au
_chemical_formula_sum 'Tb12 Al3 Ag6 Au3'
_cell_length_a 5.1378
_cell_length_b 5.1378
_cell_length_c 25.3033
_cell_angle_alpha 90.00
_cell_angle_beta 90.00
_cell_angle_gamma 120.00
_symmetry_space_group_name_H-M 'R -3 m'
_symmetry_Int_Tables_number 166
_symmetry_space_group_name_Hall '-R 3 2"'
loop_
_atom_site_label
_atom_site_fract_x
_atom_site_fract_y
_atom_site_fract_z
Tb1 0.0000 0.0000 0.1221
Tb2 0.0000 0.0000 0.3731
Al1 0.0000 0.0000 0.5000
Ag1 0.0000 0.0000 0.2427
Au1 0.0000 0.0000 0.0000
```

Summary:
E	-4.376	eV per atom
formation energy from the elements	-10.9	kcal/mol of atoms